[1]
Tl3Te6Au: optimized geometry, PBE.

Geometry as CIF:
```
data_Tl3Te6Au
_chemical_formula_sum 'Tl9 Te18 Au3'
_cell_length_a 16.3764
_cell_length_b 16.3764
_cell_length_c 5.5568
_cell_angle_alpha 90.00
_cell_angle_beta 90.00
_cell_angle_gamma 120.00
_symmetry_space_group_name_H-M 'R 3 m'
_symmetry_Int_Tables_number 160
_symmetry_space_group_name_Hall 'R 3 -2"'
loop_
_atom_site_label
_atom_site_type_symbol
_atom_site_fract_x
_atom_site_fract_y
_atom_site_fract_z
_atom_site_occupancy
Tl1 Tl 0.2205 0.4409 0.0000 1
Te1 Te 0.0765 0.5383 0.1278 1
Te2 Te 0.0955 0.1910 0.9596 1
Au1 Au 0.0000 0.0000 0.9767 1
```

Summary:
Size of the total moment: 0.0 μB per formula unit
Raw formation energy: -20.3 meV/atom


[2]
SiGeCl: optimized geometry, PBE.

Geometry as CIF:
```
data_SiGeCl
_chemical_formula_sum 'Si2 Ge2 Cl2'
_cell_length_a 4.0750
_cell_length_b 4.9385
_cell_length_c 8.9593
_cell_angle_alpha 90.00
_cell_angle_beta 90.34
_cell_angle_gamma 90.00
_symmetry_space_group_name_H-M 'P 1 21/m 1'
_symmetry_Int_Tables_number 11
loop_
_symmetry_equiv_pos_as_xyz
'x,y,z'
'-x,-y,-z'
'-x,y+1/2,-z'
'x,-y+1/2,z'
loop_
_atom_site_label
_atom_site_type_symbol
_atom_site_fract_x
_atom_site_fract_y
_atom_site_fract_z
_atom_site_occupancy
Si1 Si 0.2303 0.2500 0.1231 1
Ge1 Ge 0.2679 0.7500 0.0341 1
Cl1 Cl 0.2521 0.2500 0.3539 1
```

Summary:
Size of the total moment: 0.0 μB per formula unit
Polymorph energy (0 for the lowest one): 212.3 meV per atom
Raw formation energy: -239.7 meV/atom